Entry from Alexandria via LeMat-Bulk: a geometry-optimized Ac2DyZn structure (GGA-PBE).

## Properties
Offset from the most stable computed form   0.0 meV per atom
ΔE_f   -0.085 eV per atom
Raw total energy   -3.6083 eV per atom
Space group   P4/mmm (123)
Crystal system   tetragonal

Cell: 3.893 3.893 9.067 Å, 90.00 90.00 90.00°
Element x y z (fractional)
Ac 0.000 0.000 0.785
Zn 0.500 0.500 0.000
Dy 0.500 0.500 0.500
Ac 0.000 0.000 0.215

Entry from Alexandria via LeMat-Bulk: a geometry-optimized PdO2F2 structure (GGA-PBE).

## Properties
Uncorrected formation energy   4.55 eV/f.u.
Raw total energy   -2.8605 eV per atom
Space group   P4/mmm (123)
Crystal system   tetragonal

Cell: 3.519 3.519 4.643 Å, 90.00 90.00 90.00°
Element x y z (fractional)
F 0.000 0.000 0.000
Pd 0.500 0.500 0.500
O 0.500 0.000 0.000
F 0.000 0.000 0.500
O 0.000 0.500 0.000

Entry from Alexandria via LeMat-Bulk: a geometry-optimized TaAs2Ir structure (GGA-PBE).

## Properties
Offset from the most stable computed form   481.4 meV per atom
ΔE_f   0.267 eV per atom
Raw total energy   -7.2359 eV per atom
Space group   I-42d (122)
Crystal system   tetragonal

Cell: 5.772 5.772 6.824 Å, 64.98 64.98 90.00°
Element x y z (fractional)
Ta 0.250 0.750 0.500
Ir 0.000 0.000 0.000
As 0.106 0.625 0.250
As 0.644 0.125 0.250
As 0.375 0.356 0.750
As 0.875 0.894 0.750
Ta 0.500 0.500 0.000
Ir 0.750 0.250 0.500

Entry from Alexandria via LeMat-Bulk: a geometry-optimized Pr6AlTe5 structure (GGA-PBE).

## Properties
Uncorrected formation energy   -15.35 eV/f.u.
Raw total energy   -5.2899 eV per atom
Space group   C2/m (12)
Crystal system   monoclinic

Cell: 7.847 7.857 7.837 Å, 59.91 80.42 70.60°
Element x y z (fractional)
Te 0.000 0.666 0.669
Te 0.500 0.172 0.656
Pr 0.758 0.764 0.000
Pr 0.239 0.921 0.682
Pr 0.239 0.603 0.318
Pr 0.242 0.236 0.000
Pr 0.761 0.079 0.318
Pr 0.761 0.397 0.682
Te 0.500 0.500 0.000
Te 0.000 0.334 0.331
Al 0.000 0.000 0.000
Te 0.500 0.828 0.344

Number 1: size of the total moment 0.00 μB/f.u.. Number 2: size of the total moment 2.64 μB/f.u.. Number 3: size of the total moment 0.00 μB/f.u.. Number 4: size of the total moment 0.00 μB/f.u..